#a
The following is a DFT calculation (PBE) of a relaxed structure of Pr2LuRh.

Results
Fermi-level density of states   5.1 states/eV/f.u.
Space group   P4/mmm, No. 123

POSCAR file:
```
Pr2LuRh
1.0
3.6617 0.0000 0.0000
0.0000 3.6617 0.0000
0.0000 0.0000 8.4491
Pr Lu Rh
2 1 1
Direct
0.0000 0.0000 0.1982
0.0000 0.0000 0.8018
0.5000 0.5000 0.5000
0.5000 0.5000 0.0000
```

=====

#b
The following is a DFT calculation (PBE) of a relaxed structure of Pr2LuRh.

Results
Fermi-level density of states   4.8 states/eV/f.u.
Space group   R-3m, No. 166

POSCAR file:
```
Pr2LuRh
1.0
3.7027 0.0000 0.0000
-1.8513 3.2066 0.0000
0.0000 0.0000 32.0189
Pr Lu Rh
6 3 3
Direct
0.0000 0.0000 0.1082
0.0000 0.0000 0.8918
0.3333 0.6667 0.5585
0.3333 0.6667 0.7749
0.6667 0.3333 0.2251
0.6667 0.3333 0.4415
0.0000 0.0000 0.0000
0.3333 0.6667 0.6667
0.6667 0.3333 0.3333
0.0000 0.0000 0.5000
0.3333 0.6667 0.1667
0.6667 0.3333 0.8333
```

=====

Quick look at relative energies in kJ/mol of atoms: #a 0.0; #b 19.0.

=====

#a
The following is a DFT calculation (PBE) of a relaxed structure of PrLu2Ru.

Results
Fermi-level density of states   2.4 states/eV/f.u.
Space group   P4/mmm, No. 123

POSCAR file:
```
PrLu2Ru
1.0
3.4039 0.0000 0.0000
0.0000 3.4039 0.0000
0.0000 0.0000 8.8781
Pr Lu Ru
1 2 1
Direct
0.0000 0.0000 0.0000
0.5000 0.5000 0.3215
0.5000 0.5000 0.6785
0.0000 0.0000 0.5000
```

=====

#b
The following is a DFT calculation (PBE) of a relaxed structure of PrLu2Ru.

Results
Fermi-level density of states   6.3 states/eV/f.u.
Space group   R-3m, No. 166

POSCAR file:
```
PrLu2Ru
1.0
3.5290 0.0000 0.0000
-1.7645 3.0562 0.0000
0.0000 0.0000 29.7095
Pr Lu Ru
3 6 3
Direct
0.0000 0.0000 0.0000
0.3333 0.6667 0.6667
0.6667 0.3333 0.3333
0.0000 0.0000 0.2286
0.0000 0.0000 0.7714
0.3333 0.6667 0.4380
0.3333 0.6667 0.8953
0.6667 0.3333 0.1047
0.6667 0.3333 0.5620
0.0000 0.0000 0.5000
0.3333 0.6667 0.1667
0.6667 0.3333 0.8333
```

=====

Quick look at relative energies in kJ/mol of atoms: #a 0.0; #b 23.2.

=====

#a
The following is a DFT calculation (PBE) of a relaxed structure of PrLuRu.

Results
Fermi-level density of states   2.1 states/eV/f.u.
Space group   F-43m, No. 216

POSCAR file:
```
PrLuRu
1.0
6.8333 0.0000 0.0000
0.0000 6.8333 0.0000
0.0000 0.0000 6.8333
Pr Lu Ru
4 4 4
Direct
0.0000 0.0000 0.0000
0.0000 0.5000 0.5000
0.5000 0.0000 0.5000
0.5000 0.5000 0.0000
0.0000 0.0000 0.5000
0.0000 0.5000 0.0000
0.5000 0.0000 0.0000
0.5000 0.5000 0.5000
0.2500 0.2500 0.7500
0.2500 0.7500 0.2500
0.7500 0.2500 0.2500
0.7500 0.7500 0.7500
```

=====

#b
The following is a DFT calculation (PBE) of a relaxed structure of PrLuRu.

Results
Fermi-level density of states   1.5 states/eV/f.u.
Space group   I4mm, No. 107

POSCAR file:
```
PrLuRu
1.0
3.4282 0.0000 0.0000
0.0000 3.4282 0.0000
0.0000 0.0000 13.1162
Pr Lu Ru
2 2 2
Direct
0.0000 0.0000 0.0000
0.5000 0.5000 0.5000
0.0000 0.0000 0.2547
0.5000 0.5000 0.7547
0.0000 0.0000 0.6394
0.5000 0.5000 0.1394
```

=====

Quick look at relative energies in kJ/mol of atoms: #a 6.3; #b 0.0.

=====

#a
The following is a DFT calculation (PBE) of a relaxed structure of PrSm2Lu.

Results
Fermi-level density of states   5.9 states/eV/f.u.
Space group   P4/mmm, No. 123

POSCAR file:
```
PrSm2Lu
1.0
5.0837 0.0000 0.0000
0.0000 5.0837 0.0000
0.0000 0.0000 5.1259
Pr Sm Lu
1 2 1
Direct
0.0000 0.0000 0.0000
0.0000 0.5000 0.5000
0.5000 0.0000 0.5000
0.5000 0.5000 0.0000
```

=====

#b
The following is a DFT calculation (PBE) of a relaxed structure of PrSm2Lu.

Results
Fermi-level density of states   5.9 states/eV/f.u.
Space group   P4/mmm, No. 123

POSCAR file:
```
PrSm2Lu
1.0
3.6072 0.0000 0.0000
0.0000 3.6072 0.0000
0.0000 0.0000 10.2225
Pr Sm Lu
1 2 1
Direct
0.0000 0.0000 0.0000
0.5000 0.5000 0.2582
0.5000 0.5000 0.7418
0.0000 0.0000 0.5000
```

=====

Quick look at relative energies in kJ/mol of atoms: #a 0.0; #b 0.9.

=====

#a
The following is a DFT calculation (PBE) of a relaxed structure of PrSmLu.

Results
Fermi-level density of states   4.0 states/eV/f.u.
Space group   P-6m2, No. 187

POSCAR file:
```
PrSmLu
1.0
5.7011 0.0000 0.0000
-2.8506 4.9373 0.0000
0.0000 0.0000 3.5059
Pr Sm Lu
1 1 1
Direct
0.0000 0.0000 0.0000
0.3333 0.6667 0.5000
0.6667 0.3333 0.5000
```

=====

#b
The following is a DFT calculation (PBE) of a relaxed structure of PrSmLu.

Results
Fermi-level density of states   4.8 states/eV/f.u.
Space group   I4mm, No. 107

POSCAR file:
```
PrSmLu
1.0
3.6140 0.0000 0.0000
0.0000 3.6140 0.0000
0.0000 0.0000 15.2197
Pr Sm Lu
2 2 2
Direct
0.0000 0.0000 0.0000
0.5000 0.5000 0.5000
0.0000 0.0000 0.3281
0.5000 0.5000 0.8281
0.0000 0.0000 0.6657
0.5000 0.5000 0.1657
```

=====

Quick look at relative energies in kJ/mol of atoms: #a 4.1; #b 0.0.

=====

#a
The following is a DFT calculation (PBE) of a relaxed structure of PrLuSn2.

Results
Fermi-level density of states   1.8 states/eV/f.u.
Space group   R-3m, No. 166

POSCAR file:
```
PrLuSn2
1.0
3.8172 0.0000 0.0000
-1.9086 3.3058 0.0000
0.0000 0.0000 27.9393
Pr Lu Sn
3 3 6
Direct
0.0000 0.0000 0.0000
0.3333 0.6667 0.6667
0.6667 0.3333 0.3333
0.0000 0.0000 0.5000
0.3333 0.6667 0.1667
0.6667 0.3333 0.8333
0.0000 0.0000 0.2459
0.0000 0.0000 0.7541
0.3333 0.6667 0.4208
0.3333 0.6667 0.9125
0.6667 0.3333 0.0875
0.6667 0.3333 0.5792
```

=====

#b
The following is a DFT calculation (PBE) of a relaxed structure of PrLuSn2.

Results
Fermi-level density of states   3.6 states/eV/f.u.
Space group   Fm-3m, No. 225

POSCAR file:
```
PrLuSn2
1.0
7.6527 0.0000 0.0000
0.0000 7.6527 0.0000
0.0000 0.0000 7.6527
Pr Lu Sn
4 4 8
Direct
0.0000 0.0000 0.0000
0.0000 0.5000 0.5000
0.5000 0.0000 0.5000
0.5000 0.5000 0.0000
0.0000 0.0000 0.5000
0.0000 0.5000 0.0000
0.5000 0.0000 0.0000
0.5000 0.5000 0.5000
0.2500 0.2500 0.2500
0.2500 0.2500 0.7500
0.2500 0.7500 0.2500
0.2500 0.7500 0.7500
0.7500 0.2500 0.2500
0.7500 0.2500 0.7500
0.7500 0.7500 0.2500
0.7500 0.7500 0.7500
```

=====

Quick look at relative energies in kJ/mol of atoms: #a 3.6; #b 0.0.

=====

#a
The following is a DFT calculation (PBE) of a relaxed structure of TbPrLu2.

Results
Fermi-level density of states   6.3 states/eV/f.u.
Space group   P4/mmm, No. 123

POSCAR file:
```
TbPrLu2
1.0
5.0491 0.0000 0.0000
0.0000 5.0491 0.0000
0.0000 0.0000 4.9525
Tb Pr Lu
1 1 2
Direct
0.0000 0.0000 0.0000
0.5000 0.5000 0.0000
0.0000 0.5000 0.5000
0.5000 0.0000 0.5000
```

=====

#b
The following is a DFT calculation (PBE) of a relaxed structure of TbPrLu2.

Results
Fermi-level density of states   5.3 states/eV/f.u.
Space group   Fm-3m, No. 225

POSCAR file:
```
TbPrLu2
1.0
7.9939 0.0000 0.0000
0.0000 7.9939 0.0000
0.0000 0.0000 7.9939
Tb Pr Lu
4 4 8
Direct
0.0000 0.0000 0.0000
0.0000 0.5000 0.5000
0.5000 0.0000 0.5000
0.5000 0.5000 0.0000
0.0000 0.0000 0.5000
0.0000 0.5000 0.0000
0.5000 0.0000 0.0000
0.5000 0.5000 0.5000
0.2500 0.2500 0.2500
0.2500 0.2500 0.7500
0.2500 0.7500 0.2500
0.2500 0.7500 0.7500
0.7500 0.2500 0.2500
0.7500 0.2500 0.7500
0.7500 0.7500 0.2500
0.7500 0.7500 0.7500
```

=====

Quick look at relative energies in kJ/mol of atoms: #a 0.0; #b 5.8.

=====

#a
The following is a DFT calculation (PBE) of a relaxed structure of TbPr2Lu.

Results
Fermi-level density of states   5.9 states/eV/f.u.
Space group   P4/mmm, No. 123

POSCAR file:
```
TbPr2Lu
1.0
3.6369 0.0000 0.0000
0.0000 3.6369 0.0000
0.0000 0.0000 10.0654
Tb Pr Lu
1 2 1
Direct
0.0000 0.0000 0.0000
0.5000 0.5000 0.2538
0.5000 0.5000 0.7462
0.0000 0.0000 0.5000
```

=====

#b
The following is a DFT calculation (PBE) of a relaxed structure of TbPr2Lu.

Results
Fermi-level density of states   6.9 states/eV/f.u.
Space group   Fm-3m, No. 225

POSCAR file:
```
TbPr2Lu
1.0
8.1301 0.0000 0.0000
0.0000 8.1301 0.0000
0.0000 0.0000 8.1301
Tb Pr Lu
4 8 4
Direct
0.0000 0.0000 0.0000
0.0000 0.5000 0.5000
0.5000 0.0000 0.5000
0.5000 0.5000 0.0000
0.2500 0.2500 0.2500
0.2500 0.2500 0.7500
0.2500 0.7500 0.2500
0.2500 0.7500 0.7500
0.7500 0.2500 0.2500
0.7500 0.2500 0.7500
0.7500 0.7500 0.2500
0.7500 0.7500 0.7500
0.0000 0.0000 0.5000
0.0000 0.5000 0.0000
0.5000 0.0000 0.0000
0.5000 0.5000 0.5000
```

=====

Quick look at relative energies in kJ/mol of atoms: #a 0.0; #b 7.2.

=====

#a
The following is a DFT calculation (PBE) of a relaxed structure of PrLuTl.

Results
Fermi-level density of states   5.1 states/eV/f.u.
Space group   F-43m, No. 216

POSCAR file:
```
PrLuTl
1.0
7.4256 0.0000 0.0000
0.0000 7.4256 0.0000
0.0000 0.0000 7.4256
Pr Lu Tl
4 4 4
Direct
0.0000 0.0000 0.0000
0.0000 0.5000 0.5000
0.5000 0.0000 0.5000
0.5000 0.5000 0.0000
0.0000 0.0000 0.5000
0.0000 0.5000 0.0000
0.5000 0.0000 0.0000
0.5000 0.5000 0.5000
0.2500 0.2500 0.7500
0.2500 0.7500 0.2500
0.7500 0.2500 0.2500
0.7500 0.7500 0.7500
```

=====

#b
The following is a DFT calculation (PBE) of a relaxed structure of PrLuTl.

Results
Fermi-level density of states   3.8 states/eV/f.u.
Space group   I4mm, No. 107

POSCAR file:
```
PrLuTl
1.0
3.6567 0.0000 0.0000
0.0000 3.6567 0.0000
0.0000 0.0000 13.5509
Pr Lu Tl
2 2 2
Direct
0.0000 0.0000 0.0000
0.5000 0.5000 0.5000
0.0000 0.0000 0.3122
0.5000 0.5000 0.8122
0.0000 0.0000 0.6679
0.5000 0.5000 0.1679
```

=====

#c
The following is a DFT calculation (PBE) of a relaxed structure of PrLuTl.

Results
Fermi-level density of states   2.4 states/eV/f.u.
Space group   P3m1, No. 156

POSCAR file:
```
PrLuTl
1.0
5.2663 0.0000 0.0000
-2.6332 4.5608 0.0000
0.0000 0.0000 3.8286
Pr Lu Tl
1 1 1
Direct
0.0000 0.0000 0.0000
0.3333 0.6667 0.4925
0.6667 0.3333 0.5203
```

=====

Quick look at relative energies in kJ/mol of atoms: #a 18.1; #b 0.0; #c 3.4.

=====

#a
The following is a DFT calculation (PBE) of a relaxed structure of PrLu2Tl.

Results
Fermi-level density of states   3.2 states/eV/f.u.
Space group   P4/mmm, No. 123

POSCAR file:
```
PrLu2Tl
1.0
3.6248 0.0000 0.0000
0.0000 3.6248 0.0000
0.0000 0.0000 9.0149
Pr Lu Tl
1 2 1
Direct
0.0000 0.0000 0.0000
0.5000 0.5000 0.2780
0.5000 0.5000 0.7220
0.0000 0.0000 0.5000
```

=====

#b
The following is a DFT calculation (PBE) of a relaxed structure of PrLu2Tl.

Results
Fermi-level density of states   3.5 states/eV/f.u.
Space group   R-3m, No. 166

POSCAR file:
```
PrLu2Tl
1.0
3.5444 0.0000 0.0000
-1.7722 3.0696 0.0000
0.0000 0.0000 32.9459
Pr Lu Tl
3 6 3
Direct
0.0000 0.0000 0.0000
0.3333 0.6667 0.6667
0.6667 0.3333 0.3333
0.0000 0.0000 0.2448
0.0000 0.0000 0.7552
0.3333 0.6667 0.4219
0.3333 0.6667 0.9115
0.6667 0.3333 0.0885
0.6667 0.3333 0.5781
0.0000 0.0000 0.5000
0.3333 0.6667 0.1667
0.6667 0.3333 0.8333
```

=====

#c
The following is a DFT calculation (PBE) of a relaxed structure of PrLu2Tl.

Results
Fermi-level density of states   5.6 states/eV/f.u.
Space group   Fm-3m, No. 225

POSCAR file:
```
PrLu2Tl
1.0
7.7094 0.0000 0.0000
0.0000 7.7094 0.0000
0.0000 0.0000 7.7094
Pr Lu Tl
4 8 4
Direct
0.0000 0.0000 0.0000
0.0000 0.5000 0.5000
0.5000 0.0000 0.5000
0.5000 0.5000 0.0000
0.2500 0.2500 0.2500
0.2500 0.2500 0.7500
0.2500 0.7500 0.2500
0.2500 0.7500 0.7500
0.7500 0.2500 0.2500
0.7500 0.2500 0.7500
0.7500 0.7500 0.2500
0.7500 0.7500 0.7500
0.0000 0.0000 0.5000
0.0000 0.5000 0.0000
0.5000 0.0000 0.0000
0.5000 0.5000 0.5000
```

=====

Quick look at relative energies in kJ/mol of atoms: #a 0.0; #b 6.2; #c 20.0.

=====

#a
The following is a DFT calculation (PBE) of a relaxed structure of PrTm2Lu.

Results
Fermi-level density of states   6.6 states/eV/f.u.
Space group   P4/mmm, No. 123

POSCAR file:
```
PrTm2Lu
1.0
3.9718 0.0000 0.0000
0.0000 3.9718 0.0000
0.0000 0.0000 8.1375
Pr Tm Lu
1 2 1
Direct
0.0000 0.0000 0.0000
0.5000 0.5000 0.2725
0.5000 0.5000 0.7275
0.0000 0.0000 0.5000
```

=====

#b
The following is a DFT calculation (PBE) of a relaxed structure of PrTm2Lu.

Results
Fermi-level density of states   6.2 states/eV/f.u.
Space group   Fm-3m, No. 225

POSCAR file:
```
PrTm2Lu
1.0
7.9708 0.0000 0.0000
0.0000 7.9708 0.0000
0.0000 0.0000 7.9708
Pr Tm Lu
4 8 4
Direct
0.0000 0.0000 0.0000
0.0000 0.5000 0.5000
0.5000 0.0000 0.5000
0.5000 0.5000 0.0000
0.2500 0.2500 0.2500
0.2500 0.2500 0.7500
0.2500 0.7500 0.2500
0.2500 0.7500 0.7500
0.7500 0.2500 0.2500
0.7500 0.2500 0.7500
0.7500 0.7500 0.2500
0.7500 0.7500 0.7500
0.0000 0.0000 0.5000
0.0000 0.5000 0.0000
0.5000 0.0000 0.0000
0.5000 0.5000 0.5000
```

=====

#c
The following is a DFT calculation (PBE) of a relaxed structure of PrTm2Lu.

Results
Fermi-level density of states   6.3 states/eV/f.u.
Space group   P4/mmm, No. 123

POSCAR file:
```
PrTm2Lu
1.0
4.9954 0.0000 0.0000
0.0000 4.9954 0.0000
0.0000 0.0000 5.0199
Pr Tm Lu
1 2 1
Direct
0.0000 0.0000 0.0000
0.0000 0.5000 0.5000
0.5000 0.0000 0.5000
0.5000 0.5000 0.0000
```

=====

#d
The following is a DFT calculation (PBE) of a relaxed structure of PrTm2Lu.

Results
Fermi-level density of states   5.9 states/eV/f.u.
Space group   R-3m, No. 166

POSCAR file:
```
PrTm2Lu
1.0
3.4445 0.0000 0.0000
-1.7223 2.9831 0.0000
0.0000 0.0000 36.8864
Pr Tm Lu
3 6 3
Direct
0.0000 0.0000 0.0000
0.3333 0.6667 0.6667
0.6667 0.3333 0.3333
0.0000 0.0000 0.0916
0.0000 0.0000 0.9084
0.3333 0.6667 0.5750
0.3333 0.6667 0.7583
0.6667 0.3333 0.2417
0.6667 0.3333 0.4250
0.0000 0.0000 0.5000
0.3333 0.6667 0.1667
0.6667 0.3333 0.8333
```

=====

Quick look at relative energies in kJ/mol of atoms: #a 6.8; #b 9.0; #c 0.0; #d 12.1.

=====

#a
The following is a DFT calculation (PBE) of a relaxed structure of PrY2Lu.

Results
Fermi-level density of states   8.5 states/eV/f.u.
Space group   Fm-3m, No. 225

POSCAR file:
```
PrY2Lu
1.0
8.0694 0.0000 0.0000
0.0000 8.0694 0.0000
0.0000 0.0000 8.0694
Pr Y Lu
4 8 4
Direct
0.0000 0.0000 0.0000
0.0000 0.5000 0.5000
0.5000 0.0000 0.5000
0.5000 0.5000 0.0000
0.2500 0.2500 0.2500
0.2500 0.2500 0.7500
0.2500 0.7500 0.2500
0.2500 0.7500 0.7500
0.7500 0.2500 0.2500
0.7500 0.2500 0.7500
0.7500 0.7500 0.2500
0.7500 0.7500 0.7500
0.0000 0.0000 0.5000
0.0000 0.5000 0.0000
0.5000 0.0000 0.0000
0.5000 0.5000 0.5000
```

=====

#b
The following is a DFT calculation (PBE) of a relaxed structure of PrY2Lu.

Results
Fermi-level density of states   6.1 states/eV/f.u.
Space group   P4/mmm, No. 123

POSCAR file:
```
PrY2Lu
1.0
3.5750 0.0000 0.0000
0.0000 3.5750 0.0000
0.0000 0.0000 10.1851
Pr Y Lu
1 2 1
Direct
0.0000 0.0000 0.0000
0.5000 0.5000 0.2580
0.5000 0.5000 0.7420
0.0000 0.0000 0.5000
```

=====

Quick look at relative energies in kJ/mol of atoms: #a 9.6; #b 0.0.